Compound: MgCd3Pd4
Source: Alexandria via LeMat-Bulk
Functional: PBE-GGA
Structure: relaxed

Structure (CIF):
```
data_MgCd3Pd4
_cell_length_a 15.434
_cell_length_b 4.300
_cell_length_c 4.299
_cell_angle_alpha 90.00
_cell_angle_beta 106.02
_cell_angle_gamma 90.00
_space_group_name_H-M_alt 'C 1 2/m 1'
_space_group_IT_number 12
loop_
_space_group_symop_operation_xyz
'x,y,z'
'-x,-y,-z'
'-x,y,-z'
'x,-y,z'
'x+1/2,y+1/2,z'
'-x+1/2,-y+1/2,-z'
'-x+1/2,y+1/2,-z'
'x+1/2,-y+1/2,z'
loop_
_atom_site_label
_atom_site_type_symbol
_atom_site_fract_x
_atom_site_fract_y
_atom_site_fract_z
Mg1 Mg 0.000 0.000 0.000
Cd1 Cd 0.000 0.500 0.500
Cd2 Cd 0.250 0.000 0.250
Pd1 Pd 0.122 0.000 0.622
Pd2 Pd 0.122 0.500 0.122
```

Results
* uncorrected energy: -3.636 eV/atom
* magnetization: 0.000 μB/f.u.
* V: 17.14 Å³/atom